[1]
! Tl2SiTe GGA-PBE relaxed; values from VASP
&SYSTEM
  ibrav = 0, nat = 4, ntyp = 3
/
ATOMIC_SPECIES
Tl 204.38 Tl.upf
Si 28.09 Si.upf
Te 127.60 Te.upf
CELL_PARAMETERS angstrom
0.000 3.827 3.827
3.827 0.000 3.827
3.827 3.827 0.000
ATOMIC_POSITIONS angstrom
Tl 1.913 1.913 1.913
Tl 5.740 5.740 5.740
Si 0.000 0.000 0.000
Te 3.827 3.827 3.827
! VASP energy, eV per atom: -2.922
! Crystal system: cubic
! E above lowest polymorph, meV per atom: 273.8
! Energy relative to the elements, uncorrected, meV per atom: 402
! Space-group type: Fm-3m (225)

---

[2]
! TlSi2Te GGA-PBE relaxed; values from VASP
&SYSTEM
  ibrav = 0, nat = 4, ntyp = 3
/
ATOMIC_SPECIES
Tl 204.38 Tl.upf
Si 28.09 Si.upf
Te 127.60 Te.upf
CELL_PARAMETERS angstrom
0.000 3.571 3.571
3.571 0.000 3.571
3.571 3.571 0.000
ATOMIC_POSITIONS angstrom
Tl 0.000 0.000 0.000
Si 1.786 1.786 1.786
Si 5.357 5.357 5.357
Te 3.571 3.571 3.571
! VASP energy, eV per atom: -3.453
! Crystal system: cubic
! E above lowest polymorph, meV per atom: 366.2
! Energy relative to the elements, uncorrected, meV per atom: 635
! Space-group type: Fm-3m (225)

---

[3]
! TlSi2Te GGA-PBE relaxed; values from VASP
&SYSTEM
  ibrav = 0, nat = 4, ntyp = 3
/
ATOMIC_SPECIES
Tl 204.38 Tl.upf
Si 28.09 Si.upf
Te 127.60 Te.upf
CELL_PARAMETERS angstrom
3.886 0.000 0.000
0.000 3.886 0.000
0.000 0.000 6.933
ATOMIC_POSITIONS angstrom
Tl 0.000 0.000 0.000
Si 1.943 1.943 2.272
Si 1.943 1.943 4.661
Te 0.000 0.000 3.467
! VASP energy, eV per atom: -3.649
! Crystal system: tetragonal
! E above lowest polymorph, meV per atom: 170.5
! Energy relative to the elements, uncorrected, meV per atom: 440
! Space-group type: P4/mmm (123)

---

[4]
! TlSi2Te GGA-PBE relaxed; values from VASP
&SYSTEM
  ibrav = 0, nat = 4, ntyp = 3
/
ATOMIC_SPECIES
Tl 204.38 Tl.upf
Si 28.09 Si.upf
Te 127.60 Te.upf
CELL_PARAMETERS angstrom
1.967 1.136 7.155
-1.967 1.136 7.155
0.000 -2.271 7.155
ATOMIC_POSITIONS angstrom
Tl 0.000 0.000 0.000
Si 0.000 0.000 5.314
Si 0.000 0.000 16.151
Te 0.000 0.000 10.732
! VASP energy, eV per atom: -3.630
! Crystal system: trigonal
! E above lowest polymorph, meV per atom: 189.0
! Energy relative to the elements, uncorrected, meV per atom: 458
! Space-group type: R-3m (166)

---

[5]
! Tl2SiTe GGA-PBE relaxed; values from VASP
&SYSTEM
  ibrav = 0, nat = 4, ntyp = 3
/
ATOMIC_SPECIES
Tl 204.38 Tl.upf
Si 28.09 Si.upf
Te 127.60 Te.upf
CELL_PARAMETERS angstrom
1.878 -3.108 0.000
1.878 3.108 0.000
0.000 0.000 9.906
ATOMIC_POSITIONS angstrom
Tl 0.000 0.000 0.000
Tl 1.878 0.000 2.839
Si 0.000 0.000 5.186
Te 1.878 0.000 7.051
! VASP energy, eV per atom: -3.046
! Crystal system: orthorhombic
! E above lowest polymorph, meV per atom: 149.3
! Energy relative to the elements, uncorrected, meV per atom: 278
! Space-group type: Cmm2 (35)

---

[6]
! TlSiTe2 GGA-PBE relaxed; values from VASP
&SYSTEM
  ibrav = 0, nat = 4, ntyp = 3
/
ATOMIC_SPECIES
Tl 204.38 Tl.upf
Si 28.09 Si.upf
Te 127.60 Te.upf
CELL_PARAMETERS angstrom
-1.829 3.076 5.382
1.829 -3.076 5.382
1.829 3.076 -5.382
ATOMIC_POSITIONS angstrom
Tl 0.000 0.000 0.000
Si 0.000 0.000 5.382
Te 1.829 0.000 3.466
Te 0.000 3.076 1.916
! VASP energy, eV per atom: -3.396
! Crystal system: orthorhombic
! Energy relative to the elements, uncorrected, meV per atom: 123
! Space-group type: Immm (71)

---

[7]
! TlSi2Te GGA-PBE relaxed; values from VASP
&SYSTEM
  ibrav = 0, nat = 4, ntyp = 3
/
ATOMIC_SPECIES
Tl 204.38 Tl.upf
Si 28.09 Si.upf
Te 127.60 Te.upf
CELL_PARAMETERS angstrom
3.847 0.000 0.000
0.000 4.486 0.000
0.000 0.000 5.483
ATOMIC_POSITIONS angstrom
Tl 0.000 0.000 0.000
Si 0.000 2.243 2.742
Si 1.923 2.243 0.000
Te 1.923 0.000 2.742
! VASP energy, eV per atom: -3.471
! Crystal system: orthorhombic
! E above lowest polymorph, meV per atom: 347.8
! Energy relative to the elements, uncorrected, meV per atom: 617
! Space-group type: Pmmm (47)

---

[8]
! Tl2SiTe GGA-PBE relaxed; values from VASP
&SYSTEM
  ibrav = 0, nat = 8, ntyp = 3
/
ATOMIC_SPECIES
Tl 204.38 Tl.upf
Si 28.09 Si.upf
Te 127.60 Te.upf
CELL_PARAMETERS angstrom
-3.256 3.256 6.588
3.256 -3.256 6.588
3.256 3.256 -6.588
ATOMIC_POSITIONS angstrom
Tl 4.884 1.282 -1.647
Tl 1.282 1.628 1.647
Tl -1.628 1.974 4.941
Tl 1.974 1.628 8.235
Si 0.000 0.000 0.000
Si 0.000 3.256 3.294
Te 3.256 0.000 3.294
Te 0.000 0.000 6.588
! VASP energy, eV per atom: -3.160
! Crystal system: tetragonal
! E above lowest polymorph, meV per atom: 35.3
! Energy relative to the elements, uncorrected, meV per atom: 164
! Space-group type: I-42d (122)

---

[9]
! TlSiTe2 GGA-PBE relaxed; values from VASP
&SYSTEM
  ibrav = 0, nat = 4, ntyp = 3
/
ATOMIC_SPECIES
Tl 204.38 Tl.upf
Si 28.09 Si.upf
Te 127.60 Te.upf
CELL_PARAMETERS angstrom
3.493 0.000 0.000
0.000 3.493 0.000
0.000 0.000 9.763
ATOMIC_POSITIONS angstrom
Tl 0.000 0.000 0.000
Si 1.747 1.747 2.533
Te 0.000 0.000 3.786
Te 1.747 1.747 7.235
! VASP energy, eV per atom: -3.325
! Crystal system: tetragonal
! Energy relative to the elements, uncorrected, meV per atom: 193
! Space-group type: P4mm (99)

---

[10]
! TlSiTe2 GGA-PBE relaxed; values from VASP
&SYSTEM
  ibrav = 0, nat = 4, ntyp = 3
/
ATOMIC_SPECIES
Tl 204.38 Tl.upf
Si 28.09 Si.upf
Te 127.60 Te.upf
CELL_PARAMETERS angstrom
4.434 0.000 0.000
0.000 3.718 0.000
-1.526 0.000 7.783
ATOMIC_POSITIONS angstrom
Tl 0.000 0.000 0.000
Si 1.454 0.000 3.891
Te 0.729 1.859 5.652
Te 2.179 1.859 2.131
! VASP energy, eV per atom: -3.409
! Crystal system: monoclinic
! Energy relative to the elements, uncorrected, meV per atom: 109
! Space-group type: P2/m (10)

---

[11]
! Tl2SiTe GGA-PBE relaxed; values from VASP
&SYSTEM
  ibrav = 0, nat = 4, ntyp = 3
/
ATOMIC_SPECIES
Tl 204.38 Tl.upf
Si 28.09 Si.upf
Te 127.60 Te.upf
CELL_PARAMETERS angstrom
0.000 3.801 3.801
3.801 0.000 3.801
3.801 3.801 0.000
ATOMIC_POSITIONS angstrom
Tl 0.000 0.000 0.000
Tl 1.900 1.900 1.900
Si 3.801 3.801 3.801
Te 5.701 5.701 5.701
! VASP energy, eV per atom: -2.980
! Crystal system: cubic
! E above lowest polymorph, meV per atom: 216.0
! Energy relative to the elements, uncorrected, meV per atom: 345
! Space-group type: F-43m (216)

---

[12]
! Tl2SiTe GGA-PBE relaxed; values from VASP
&SYSTEM
  ibrav = 0, nat = 4, ntyp = 3
/
ATOMIC_SPECIES
Tl 204.38 Tl.upf
Si 28.09 Si.upf
Te 127.60 Te.upf
CELL_PARAMETERS angstrom
4.716 0.000 0.000
0.000 3.795 0.000
-2.073 0.000 6.772
ATOMIC_POSITIONS angstrom
Tl 0.000 0.000 0.000
Tl 0.309 1.897 4.540
Si 2.681 0.000 3.632
Te 2.396 1.897 1.727
! VASP energy, eV per atom: -3.192
! Crystal system: monoclinic
! E above lowest polymorph, meV per atom: 4.0
! Energy relative to the elements, uncorrected, meV per atom: 133
! Space-group type: Pm (6)

---

[13]
! TlSiTe2 GGA-PBE relaxed; values from VASP
&SYSTEM
  ibrav = 0, nat = 4, ntyp = 3
/
ATOMIC_SPECIES
Tl 204.38 Tl.upf
Si 28.09 Si.upf
Te 127.60 Te.upf
CELL_PARAMETERS angstrom
3.232 -4.218 0.000
3.232 4.218 0.000
0.000 0.000 4.126
ATOMIC_POSITIONS angstrom
Tl 0.000 0.000 0.000
Si 3.232 0.000 0.000
Te 1.616 2.109 2.063
Te 1.616 -2.109 2.063
! VASP energy, eV per atom: -3.173
! Crystal system: orthorhombic
! Energy relative to the elements, uncorrected, meV per atom: 345
! Space-group type: Cmmm (65)

---

[14]
! TlSiTe4 GGA-PBE relaxed; values from VASP
&SYSTEM
  ibrav = 0, nat = 12, ntyp = 3
/
ATOMIC_SPECIES
Tl 204.38 Tl.upf
Si 28.09 Si.upf
Te 127.60 Te.upf
CELL_PARAMETERS angstrom
5.811 -7.051 0.000
5.811 7.051 0.000
-4.448 0.000 5.936
ATOMIC_POSITIONS angstrom
Tl 2.475 5.250 4.452
Tl 4.699 -5.250 1.484
Si 4.699 3.682 1.484
Si 2.475 -3.682 4.452
Te -2.431 1.471 5.874
Te 2.947 2.315 2.674
Te -0.207 -1.471 2.906
Te 6.452 2.315 0.294
Te 0.723 -2.315 5.641
Te 7.381 1.471 3.030
Te 4.228 -2.315 3.262
Te 9.606 -1.471 0.062
! VASP energy, eV per atom: -3.409
! Crystal system: monoclinic
! E above lowest polymorph, meV per atom: 0.0
! Energy relative to the elements, uncorrected, meV per atom: -16
! Space-group type: C2/c (15)

---

[15]
! TlSi2Te GGA-PBE relaxed; values from VASP
&SYSTEM
  ibrav = 0, nat = 4, ntyp = 3
/
ATOMIC_SPECIES
Tl 204.38 Tl.upf
Si 28.09 Si.upf
Te 127.60 Te.upf
CELL_PARAMETERS angstrom
3.727 0.000 0.000
0.000 4.911 0.000
-1.757 0.000 5.474
ATOMIC_POSITIONS angstrom
Tl 0.000 0.000 0.000
Si 1.939 2.456 1.870
Si 1.809 0.000 2.442
Te 0.060 2.456 3.810
! VASP energy, eV per atom: -3.678
! Crystal system: monoclinic
! E above lowest polymorph, meV per atom: 141.4
! Energy relative to the elements, uncorrected, meV per atom: 411
! Space-group type: Pm (6)

---

[16]
! TlSiTe3 GGA-PBE relaxed; values from VASP
&SYSTEM
  ibrav = 0, nat = 20, ntyp = 3
/
ATOMIC_SPECIES
Tl 204.38 Tl.upf
Si 28.09 Si.upf
Te 127.60 Te.upf
CELL_PARAMETERS angstrom
9.246 0.000 0.000
0.000 7.627 0.000
-8.733 0.000 10.197
ATOMIC_POSITIONS angstrom
Tl -0.733 1.735 3.433
Tl -5.100 2.078 8.532
Tl 5.612 5.549 1.665
Tl 1.245 5.892 6.764
Si 0.404 5.161 0.918
Si -3.963 6.279 6.017
Si 4.475 1.348 4.180
Si 0.108 2.466 9.279
Te -3.003 1.045 6.030
Te 1.364 2.768 0.932
Te -4.854 5.534 8.294
Te -0.487 5.906 3.196
Te -2.207 4.582 5.516
Te 2.160 6.859 0.417
Te -1.648 0.768 9.780
Te 2.719 3.045 4.681
Te 1.000 1.721 7.001
Te 5.366 2.093 1.903
Te -0.852 4.859 9.265
Te 3.515 6.582 4.167
! VASP energy, eV per atom: -3.527
! Crystal system: monoclinic
! Energy relative to the elements, uncorrected, meV per atom: -84
! Space-group type: P2_1/c (14)

---

[17]
! TlSiTe2 GGA-PBE relaxed; values from VASP
&SYSTEM
  ibrav = 0, nat = 8, ntyp = 3
/
ATOMIC_SPECIES
Tl 204.38 Tl.upf
Si 28.09 Si.upf
Te 127.60 Te.upf
CELL_PARAMETERS angstrom
-3.969 3.969 4.469
3.969 -3.969 4.469
3.969 3.969 -4.469
ATOMIC_POSITIONS angstrom
Tl 0.000 0.000 0.000
Tl 0.000 3.969 2.234
Si 3.969 0.000 2.234
Si 0.000 0.000 4.469
Te 1.985 -1.384 3.352
Te 2.585 1.985 1.117
Te 1.985 5.354 -1.117
Te 1.384 1.985 5.586
! VASP energy, eV per atom: -3.475
! Crystal system: tetragonal
! Energy relative to the elements, uncorrected, meV per atom: 43
! Space-group type: I-42d (122)

---

[18]
! Tl2Si2Te GGA-PBE relaxed; values from VASP
&SYSTEM
  ibrav = 0, nat = 10, ntyp = 3
/
ATOMIC_SPECIES
Tl 204.38 Tl.upf
Si 28.09 Si.upf
Te 127.60 Te.upf
CELL_PARAMETERS angstrom
7.289 0.000 0.000
0.000 7.289 0.000
0.000 0.000 5.034
ATOMIC_POSITIONS angstrom
Tl 1.342 2.302 0.000
Tl 2.302 5.947 0.000
Tl 4.987 1.342 0.000
Tl 5.947 4.987 0.000
Si 0.832 4.476 2.517
Si 2.813 0.832 2.517
Si 4.476 6.458 2.517
Si 6.458 2.813 2.517
Te 0.000 0.000 2.517
Te 3.645 3.645 2.517
! VASP energy, eV per atom: -3.417
! Crystal system: tetragonal
! E above lowest polymorph, meV per atom: 116.4
! Energy relative to the elements, uncorrected, meV per atom: 327
! Space-group type: P4/mbm (127)

---

[19]
! TlSi2Te GGA-PBE relaxed; values from VASP
&SYSTEM
  ibrav = 0, nat = 4, ntyp = 3
/
ATOMIC_SPECIES
Tl 204.38 Tl.upf
Si 28.09 Si.upf
Te 127.60 Te.upf
CELL_PARAMETERS angstrom
1.904 -2.909 0.000
1.904 2.909 0.000
0.000 0.000 8.618
ATOMIC_POSITIONS angstrom
Tl 0.000 0.000 0.000
Si 1.904 0.000 2.244
Si 1.904 0.000 6.374
Te 0.000 0.000 4.309
! VASP energy, eV per atom: -3.447
! Crystal system: orthorhombic
! E above lowest polymorph, meV per atom: 372.7
! Energy relative to the elements, uncorrected, meV per atom: 642
! Space-group type: Cmmm (65)

---

[20]
! TlSi2Te GGA-PBE relaxed; values from VASP
&SYSTEM
  ibrav = 0, nat = 4, ntyp = 3
/
ATOMIC_SPECIES
Tl 204.38 Tl.upf
Si 28.09 Si.upf
Te 127.60 Te.upf
CELL_PARAMETERS angstrom
-1.851 2.433 5.965
1.851 -2.433 5.965
1.851 2.433 -5.965
ATOMIC_POSITIONS angstrom
Tl 0.000 0.000 0.000
Si 1.851 0.000 2.603
Si 0.000 0.000 4.197
Te 0.000 2.433 2.723
! VASP energy, eV per atom: -3.728
! Crystal system: orthorhombic
! E above lowest polymorph, meV per atom: 90.8
! Energy relative to the elements, uncorrected, meV per atom: 360
! Space-group type: Imm2 (44)